TaCoO2 | PBE+U | relaxed

a b c (Å): 6.672 6.672 6.672
angles (deg): 145.35 145.35 49.81
Fractional coordinates of all 8 atoms:
Ta  0.000  0.000  0.000
Ta  0.750  0.250  0.500
Co  0.250  0.750  0.500
Co  0.500  0.500  0.000
O  0.100  0.625  0.975
O  0.375  0.350  0.475
O  0.650  0.125  0.025
O  0.875  0.900  0.525

Summary:
magnetic moment: 1.2 μB/f.u.
electronic total energy: -7.81 eV/atom
calculated volume: 96 Å³ per cell